# 1
Sr2CoMo: relaxed, GGA-PBE.

Calculated values
Density of states at the Fermi level   0.99 states/eV/atom
Crystal system   tetragonal
E_form   0.806 eV/atom
Symmetry   I-42d (122)
Polymorph energy (0 for the lowest one)   0.266 eV/atom

abc: 11.363 11.363 8.341
angles: 47.06 47.06 90.00
Fractional coordinates of all 8 atoms:
1 Sr 0.447 0.125 0.250
2 Sr 0.375 0.553 0.750
3 Sr 0.875 0.697 0.750
4 Sr 0.303 0.625 0.250
5 Mo 0.000 0.000 0.000
6 Mo 0.750 0.250 0.500
7 Co 0.250 0.750 0.500
8 Co 0.500 0.500 0.000

# 2
Tl3H4Pt: relaxed, GGA-PBE.

Calculated values
Density of states at the Fermi level   0.22 states/eV/atom
Crystal system   orthorhombic
Uncorrected energy   -25.7 eV per cell
Symmetry   Imm2 (44)

abc: 5.451 6.080 6.080
angles: 102.38 63.37 63.37
Fractional coordinates of all 8 atoms:
1 H 0.755 0.441 0.441
2 H 0.363 0.441 0.441
3 H 0.871 0.501 0.757
4 H 0.871 0.757 0.501
5 Tl 0.468 0.259 0.805
6 Tl 0.976 0.024 0.024
7 Tl 0.468 0.805 0.259
8 Pt 0.078 0.422 0.422

# 3
Tb4SiTe2S: relaxed, GGA-PBE.

Calculated values
Density of states at the Fermi level   0.41 states/eV/atom
Crystal system   monoclinic
Energy relative to the elements, uncorrected   -1428 meV/atom
Symmetry   P2/m (10)

abc: 4.168 7.172 7.496
angles: 108.89 90.00 90.00
Fractional coordinates of all 8 atoms:
1 Tb 0.500 0.760 0.788
2 Tb 0.000 0.263 0.784
3 Tb 0.500 0.240 0.212
4 Tb 0.000 0.737 0.216
5 S 0.000 0.000 0.000
6 Te 0.500 0.000 0.500
7 Te 0.000 0.500 0.500
8 Si 0.500 0.500 0.000

What is the density of states at the Fermi level in the second record? 0.22 states/eV/atom

Please write out number 3 again, unchanged.
Tb4SiTe2S: relaxed, GGA-PBE.

Calculated values
Density of states at the Fermi level   0.41 states/eV/atom
Crystal system   monoclinic
Energy relative to the elements, uncorrected   -1428 meV/atom
Symmetry   P2/m (10)

abc: 4.168 7.172 7.496
angles: 108.89 90.00 90.00
Fractional coordinates of all 8 atoms:
1 Tb 0.500 0.760 0.788
2 Tb 0.000 0.263 0.784
3 Tb 0.500 0.240 0.212
4 Tb 0.000 0.737 0.216
5 S 0.000 0.000 0.000
6 Te 0.500 0.000 0.500
7 Te 0.000 0.500 0.500
8 Si 0.500 0.500 0.000

Which value of density of states at the Fermi level does entry 3 give? 0.41 states/eV/atom

Which of these has the highest density of states at the Fermi level? Sr2CoMo